First-principles (PBE) data for ZrTlSe3 after structural relaxation, as listed in Alexandria.

Lattice parameters (Å, degrees): 8.9814 8.9814 9.9539 117.53 117.53 25.03
Element x y z (fractional)
Zr (0.1907, 0.1907, 0.3097)
Zr (0.8093, 0.8093, 0.6903)
Tl (0.3974, 0.3974, 0.2053)
Tl (0.6026, 0.6026, 0.7947)
Se (0.0141, 0.0141, 0.1290)
Se (0.2836, 0.2836, 0.8482)
Se (0.3535, 0.3535, 0.5408)
Se (0.6465, 0.6465, 0.4592)
Se (0.7164, 0.7164, 0.1518)
Se (0.9859, 0.9859, 0.8710)

Summary:
Its space group is C2/m. The energy above the most stable polymorph in this dataset is 0.00 eV per formula unit. The density of states at the Fermi level is 0.1166 states/eV per atom. For the uncorrected energy, the calculation gives -5.17 eV per atom.